Entry 1:
{"formula": "RuPbI2O", "functional": "PBE-GGA", "state": "optimized geometry", "lattice": [[5.4913, 0.0000, 0.0000], [0.0000, 5.4913, 0.0000], [0.0000, 0.0000, 3.7851]], "species": ["O", "I", "I", "Ru", "Pb"], "fractional_positions": [[0.0000, 0.0000, 0.5000], [0.5000, 0.0000, 0.0000], [0.0000, 0.5000, 0.0000], [0.0000, 0.0000, 0.0000], [0.5000, 0.5000, 0.5000]], "e_form_raw_ev_per_fu": -0.89, "final_energy_ev_per_fu": -21.93, "spacegroup": "P4/mmm (123)"}

Entry 2:
{"formula": "RuPbIO2", "functional": "PBE-GGA", "state": "optimized geometry", "lattice": [[4.1389, 0.0000, 0.0000], [0.0000, 4.1389, 0.0000], [0.0000, 0.0000, 5.5271]], "species": ["I", "O", "O", "Pb", "Ru"], "fractional_positions": [[0.0000, 0.0000, 0.5000], [0.5000, 0.0000, 0.0000], [0.0000, 0.5000, 0.0000], [0.5000, 0.5000, 0.5000], [0.0000, 0.0000, 0.0000]], "e_form_raw_ev_per_fu": -0.15, "final_energy_ev_per_fu": -24.60, "spacegroup": "P4/mmm (123)"}

Entry 3:
{"formula": "PbSI2O", "functional": "PBE-GGA", "state": "optimized geometry", "lattice": [[5.9167, 0.0000, 0.0000], [0.0000, 5.9167, 0.0000], [0.0000, 0.0000, 3.7189]], "species": ["I", "I", "O", "Pb", "S"], "fractional_positions": [[0.0000, 0.5000, 0.0000], [0.5000, 0.0000, 0.0000], [0.0000, 0.0000, 0.5000], [0.5000, 0.5000, 0.5000], [0.0000, 0.0000, 0.0000]], "e_form_raw_ev_per_fu": 0.26, "final_energy_ev_per_fu": -15.64, "spacegroup": "P4/mmm (123)"}

Entry 4:
{"formula": "PbSI2O", "functional": "PBE-GGA", "state": "optimized geometry", "lattice": [[-0.8255, 5.9961, -1.7787], [-5.8852, -1.3520, -1.8262], [-1.4119, 0.9473, 3.8487]], "species": ["I", "I", "Pb", "O", "S"], "fractional_positions": [[0.0000, 0.5000, 0.0000], [0.5000, 0.0000, 0.0000], [0.0000, 0.0000, 0.0000], [0.0000, 0.0000, 0.5000], [0.5000, 0.5000, 0.5000]], "e_form_raw_ev_per_fu": 1.69, "final_energy_ev_per_fu": -14.20, "spacegroup": "P4/mmm (123)"}

Entry 5:
{"formula": "PbSIO4", "functional": "PBE-GGA", "state": "optimized geometry", "lattice": [[0.3191, -4.4791, 7.4084], [5.5211, -3.9097, 5.4113], [1.3440, 4.4528, 4.7702]], "species": ["O", "O", "O", "O", "O", "O", "O", "O", "Pb", "Pb", "I", "I", "S", "S"], "fractional_positions": [[0.1020, 0.5336, 0.1085], [0.6067, 0.6067, 0.6754], [0.8980, 0.4664, 0.8915], [0.5336, 0.1020, 0.1085], [0.3933, 0.3933, 0.3246], [0.7618, 0.7618, 0.5760], [0.2382, 0.2382, 0.4240], [0.4664, 0.8980, 0.8915], [0.3015, 0.3015, 0.7337], [0.6985, 0.6985, 0.2663], [0.9596, 0.9596, 0.7072], [0.0404, 0.0404, 0.2928], [0.6809, 0.6809, 0.7565], [0.3191, 0.3191, 0.2435]], "e_form_raw_ev_per_fu": -8.23, "final_energy_ev_per_fu": -37.44, "spacegroup": "C2/m (12)"}

Entry 6:
{"formula": "Sb2PbIO", "functional": "PBE-GGA", "state": "optimized geometry", "lattice": [[-2.4042, 2.8022, 4.6860], [1.1003, -4.7665, 3.4148], [5.6259, 2.3568, 1.4770]], "species": ["I", "O", "Sb", "Sb", "Pb"], "fractional_positions": [[0.0000, 0.0000, 0.5000], [0.5000, 0.5000, 0.5000], [0.0000, 0.5000, 0.0000], [0.5000, 0.0000, 0.0000], [0.0000, 0.0000, 0.0000]], "e_form_raw_ev_per_fu": 5.56, "final_energy_ev_per_fu": -12.90, "spacegroup": "P4/mmm (123)"}

Entry 7:
{"formula": "SbPbIO6", "functional": "PBE-GGA", "state": "optimized geometry", "lattice": [[5.5448, 0.0000, -0.0001], [2.7725, 4.8019, 0.0000], [0.0001, 0.0000, 5.4166]], "species": ["O", "O", "O", "O", "O", "O", "Sb", "I", "Pb"], "fractional_positions": [[0.6312, 0.3829, 0.7091], [0.6312, 0.9859, 0.2909], [0.3829, 0.9859, 0.7091], [0.3829, 0.6312, 0.2909], [0.9858, 0.6312, 0.7091], [0.9858, 0.3829, 0.2909], [0.6666, 0.6667, 0.5000], [0.3333, 0.3333, 0.5000], [0.0000, 0.0000, 0.0000]], "e_form_raw_ev_per_fu": -7.97, "final_energy_ev_per_fu": -47.10, "spacegroup": "P312 (149)"}

Entry 8:
{"formula": "Sb2PbIO", "functional": "PBE-GGA", "state": "optimized geometry", "lattice": [[4.5965, 0.0000, 0.0000], [0.0000, 4.5965, 0.0000], [0.0000, 0.0000, 6.7070]], "species": ["I", "O", "Sb", "Sb", "Pb"], "fractional_positions": [[0.0000, 0.0000, 0.5000], [0.0000, 0.0000, 0.0000], [0.0000, 0.5000, 0.0000], [0.5000, 0.0000, 0.0000], [0.5000, 0.5000, 0.5000]], "e_form_raw_ev_per_fu": -0.39, "final_energy_ev_per_fu": -18.85, "spacegroup": "P4/mmm (123)"}

Please write out number 1 again, unchanged.
{"formula": "RuPbI2O", "functional": "PBE-GGA", "state": "optimized geometry", "lattice": [[5.4913, 0.0000, 0.0000], [0.0000, 5.4913, 0.0000], [0.0000, 0.0000, 3.7851]], "species": ["O", "I", "I", "Ru", "Pb"], "fractional_positions": [[0.0000, 0.0000, 0.5000], [0.5000, 0.0000, 0.0000], [0.0000, 0.5000, 0.0000], [0.0000, 0.0000, 0.0000], [0.5000, 0.5000, 0.5000]], "e_form_raw_ev_per_fu": -0.89, "final_energy_ev_per_fu": -21.93, "spacegroup": "P4/mmm (123)"}